Here is a relaxed LiAc2Se3 crystal from Alexandria. Energies are from GGA-PBE.

Cell: 4.2069 4.7900 16.7734 Å, 90.00 90.00 90.00°
Fractional positions:
Li  0.0000  0.0000  0.0000
Li  0.5000  0.5000  0.5000
Ac  0.0000  0.0000  0.3594
Ac  0.0000  0.0000  0.6406
Ac  0.5000  0.5000  0.1406
Ac  0.5000  0.5000  0.8594
Se  0.0000  0.0000  0.1709
Se  0.0000  0.0000  0.8291
Se  0.0000  0.5000  0.0000
Se  0.5000  0.0000  0.5000
Se  0.5000  0.5000  0.3291
Se  0.5000  0.5000  0.6709

## Properties
As for the space-group type: No. 71. The density of states at the Fermi level is 0.241 states/eV per atom. The total energy is -5.22 eV/atom. The size of the total moment comes out at 0.0 μB per formula unit. The value obtained for the uncorrected formation energy is -1784 meV/atom.